First-principles (GGA-PBE) data for an optimized crystal structure of Ba6Bi2PtI3, as listed in Alexandria.

Unit cell a=8.604 b=8.604 c=9.012 alpha=99.31 beta=99.31 gamma=119.90
Element x y z (fractional)
Ba  0.071  0.382  0.213
Ba  0.240  0.240  0.781
Ba  0.382  0.071  0.213
Ba  0.618  0.929  0.787
Ba  0.760  0.760  0.219
Ba  0.929  0.618  0.787
Bi  0.334  0.666  0.000
Bi  0.666  0.334  0.000
Pt  0.000  0.000  0.000
I  0.174  0.826  0.500
I  0.500  0.500  0.500
I  0.826  0.174  0.500

Calculated values
- total DFT energy (no corrections) (eV per cell) = -44.7
- formation energy from raw total energies (meV/atom) = -1222